Entry 1:
{
  "formula": "V5Co2NiIr2",
  "functional": "GGA-PBE",
  "state": "relaxed",
  "mass_density_g_cm3": 10.3,
  "spacegroup": "P4/mbm",
  "n_ef_per_ev_fu": 13.13,
  "total_magnetization_mub_per_atom": 0.02,
  "dft_energy_ev_per_fu": -83.35,
  "lattice_angstrom": [[9.4119, 0.0000, 0.0000], [0.0000, 9.4119, 0.0000], [0.0000, 0.0000, 2.9643]],
  "species": ["V", "V", "V", "V", "V", "V", "V", "V", "V", "V", "Co", "Co", "Co", "Co", "Ni", "Ni", "Ir", "Ir", "Ir", "Ir"],
  "fractional_positions": [[0.0000, 0.5000, 0.0000], [0.0783, 0.1903, 0.0000], [0.1903, 0.9217, 0.0000], [0.3097, 0.4217, 0.0000], [0.4217, 0.6903, 0.0000], [0.5000, 0.0000, 0.0000], [0.5783, 0.3097, 0.0000], [0.6903, 0.5783, 0.0000], [0.8097, 0.0783, 0.0000], [0.9217, 0.8097, 0.0000], [0.1303, 0.3697, 0.5000], [0.3697, 0.8697, 0.5000], [0.6303, 0.1303, 0.5000], [0.8697, 0.6303, 0.5000], [0.0000, 0.0000, 0.5000], [0.5000, 0.5000, 0.5000], [0.1706, 0.6706, 0.5000], [0.3294, 0.1706, 0.5000], [0.6706, 0.8294, 0.5000], [0.8294, 0.3294, 0.5000]]
}

=====

Entry 2:
{
  "formula": "ZrCoNiIr",
  "functional": "GGA-PBE",
  "state": "relaxed",
  "mass_density_g_cm3": 11.6,
  "spacegroup": "F-43m",
  "n_ef_per_ev_fu": 4.74,
  "total_magnetization_mub_per_atom": 0.38,
  "dft_energy_ev_per_fu": -31.29,
  "lattice_angstrom": [[0.0000, 3.0624, 3.0624], [3.0624, 0.0000, 3.0624], [3.0624, 3.0624, 0.0000]],
  "species": ["Zr", "Co", "Ni", "Ir"],
  "fractional_positions": [[0.0000, 0.0000, 0.0000], [0.7500, 0.7500, 0.7500], [0.2500, 0.2500, 0.2500], [0.5000, 0.5000, 0.5000]]
}

=====

Entry 3:
{
  "formula": "Np2CoIr",
  "functional": "GGA-PBE",
  "state": "relaxed",
  "mass_density_g_cm3": 15.9,
  "spacegroup": "P4/mmm",
  "n_ef_per_ev_fu": 9.21,
  "total_magnetization_mub_per_atom": 1.65,
  "dft_energy_ev_per_fu": -41.82,
  "lattice_angstrom": [[4.6662, 0.0000, 0.0000], [0.0000, 4.6662, 0.0000], [0.0000, 0.0000, 3.4853]],
  "species": ["Np", "Np", "Co", "Ir"],
  "fractional_positions": [[0.0000, 0.5000, 0.0000], [0.5000, 0.0000, 0.0000], [0.0000, 0.0000, 0.5000], [0.5000, 0.5000, 0.5000]]
}